DFT (PBE-GGA) results for an optimized crystal structure of LaPm5Er2.

Cell: 7.2313 7.2313 10.3164 Å, 90.00 90.00 90.00°
Closest atoms and distances in Å follow each position.
Space group I4/mmm (No. 139)
Inequivalent atoms, fractional coordinates:
La1 0.0000 0.0000 0.0000  4 Er 3.62, 8 Pm 3.63
Pm1 0.0000 0.0000 0.5000  4 Er 3.62, 8 Pm 3.63
Pm2 0.2500 0.2500 0.2500  6 Pm 3.62-3.63, 2 La 3.63, 4 Er 3.63
Er1 0.0000 0.5000 0.0000  2 La 3.62, 10 Pm 3.62-3.63

Computed properties:
Calculated volume: 269.7 Å³/f.u.
Total energy: -4.712 eV/atom